TaReOs2 after structural relaxation. Source: Alexandria, functional PBE. Values from VASP.

```
&SYSTEM
  ibrav = 0, nat = 12, ntyp = 3
/
ATOMIC_SPECIES
Ta 180.95 Ta.upf
Re 186.21 Re.upf
Os 190.23 Os.upf
CELL_PARAMETERS angstrom
2.7827 0.0000 0.0000
-1.3913 2.4099 0.0000
0.0000 0.0000 27.6466
ATOMIC_POSITIONS crystal
Ta 0.0000 0.0000 0.0000
Ta 0.3333 0.6667 0.6667
Ta 0.6667 0.3333 0.3333
Re 0.0000 0.0000 0.5000
Re 0.3333 0.6667 0.1667
Re 0.6667 0.3333 0.8333
Os 0.0000 0.0000 0.2463
Os 0.0000 0.0000 0.7537
Os 0.3333 0.6667 0.4203
Os 0.3333 0.6667 0.9130
Os 0.6667 0.3333 0.0870
Os 0.6667 0.3333 0.5797
```

Output
raw total energy	-139.05	eV per cell

TaRe2Os after structural relaxation. Source: Alexandria, functional PBE. Values from VASP.

```
&SYSTEM
  ibrav = 0, nat = 16, ntyp = 3
/
ATOMIC_SPECIES
Ta 180.95 Ta.upf
Re 186.21 Re.upf
Os 190.23 Os.upf
CELL_PARAMETERS angstrom
6.3022 0.0000 0.0000
0.0000 6.3022 0.0000
0.0000 0.0000 6.3022
ATOMIC_POSITIONS crystal
Ta 0.0000 0.0000 0.0000
Ta 0.0000 0.5000 0.5000
Ta 0.5000 0.0000 0.5000
Ta 0.5000 0.5000 0.0000
Re 0.2500 0.2500 0.2500
Re 0.2500 0.2500 0.7500
Re 0.2500 0.7500 0.2500
Re 0.2500 0.7500 0.7500
Re 0.7500 0.2500 0.2500
Re 0.7500 0.2500 0.7500
Re 0.7500 0.7500 0.2500
Re 0.7500 0.7500 0.7500
Os 0.0000 0.0000 0.5000
Os 0.0000 0.5000 0.0000
Os 0.5000 0.0000 0.0000
Os 0.5000 0.5000 0.5000
```

Output
energy above the most stable polymorph in this dataset	0.815	eV per formula unit
raw total energy	-188.93	eV per cell

TaReOs2 after structural relaxation. Source: Alexandria, functional PBE. Values from VASP.

```
&SYSTEM
  ibrav = 0, nat = 4, ntyp = 3
/
ATOMIC_SPECIES
Ta 180.95 Ta.upf
Re 186.21 Re.upf
Os 190.23 Os.upf
CELL_PARAMETERS angstrom
3.0423 0.0000 0.0000
0.0000 4.4808 0.0000
0.0000 0.0000 4.5504
ATOMIC_POSITIONS crystal
Ta 0.0000 0.0000 0.0000
Re 0.5000 0.0000 0.5000
Os 0.0000 0.5000 0.5000
Os 0.5000 0.5000 0.0000
```

Output
raw total energy	-46.07	eV per cell

TaReOs2 after structural relaxation. Source: Alexandria, functional PBE. Values from VASP.

```
&SYSTEM
  ibrav = 0, nat = 8, ntyp = 3
/
ATOMIC_SPECIES
Ta 180.95 Ta.upf
Re 186.21 Re.upf
Os 190.23 Os.upf
CELL_PARAMETERS angstrom
5.5987 0.0000 0.0000
0.0000 7.7953 0.0000
0.0000 0.0000 2.8179
ATOMIC_POSITIONS crystal
Ta 0.0000 0.0000 0.0000
Ta 0.5000 0.5000 0.0000
Re 0.0000 0.5000 0.0000
Re 0.5000 0.0000 0.0000
Os 0.2500 0.2500 0.5000
Os 0.2500 0.7500 0.5000
Os 0.7500 0.2500 0.5000
Os 0.7500 0.7500 0.5000
```

Output
raw total energy	-93.85	eV per cell